Entry 1:
DFT (GGA-PBE) results for a relaxed Ca2Be2CdPd5 crystal. Values from VASP.

total moment: 0.0 Bohr magnetons per cell

Cell and atoms, written as Quantum ESPRESSO input:
```
&SYSTEM
  ibrav = 0, nat = 20, ntyp = 4
/
ATOMIC_SPECIES
Ca 40.08 Ca.upf
Be 9.01 Be.upf
Cd 112.41 Cd.upf
Pd 106.42 Pd.upf
ATOMIC_POSITIONS angstrom
Ca 1.7488 3.1740 0.0000
Ca 3.1740 8.0969 0.0000
Ca 6.6716 1.7488 0.0000
Ca 8.0969 6.6716 0.0000
Be 1.1751 6.0979 0.0000
Be 3.7477 1.1751 0.0000
Be 6.0979 8.6706 0.0000
Be 8.6706 3.7477 0.0000
Cd 0.0000 0.0000 0.0000
Cd 4.9228 4.9228 0.0000
Pd 0.0000 4.9228 1.7156
Pd 0.6814 7.6598 1.7156
Pd 2.1859 0.6814 1.7156
Pd 2.7370 5.6043 1.7156
Pd 4.2414 2.7370 1.7156
Pd 4.9228 0.0000 1.7156
Pd 5.6043 7.1087 1.7156
Pd 7.1087 4.2414 1.7156
Pd 7.6598 9.1642 1.7156
Pd 9.1642 2.1859 1.7156
CELL_PARAMETERS angstrom
9.8457 0.0000 0.0000
0.0000 9.8457 0.0000
0.0000 0.0000 3.4312
```

***

Entry 2:
DFT (GGA-PBE) results for a relaxed CsInAu3 crystal. Values from VASP.

total moment: 0.0 Bohr magnetons per cell
energy above the lowest structure with this stoichiometry: 0.1062 eV per atom

Cell and atoms, written as Quantum ESPRESSO input:
```
&SYSTEM
  ibrav = 0, nat = 10, ntyp = 3
/
ATOMIC_SPECIES
Cs 132.91 Cs.upf
In 114.82 In.upf
Au 196.97 Au.upf
ATOMIC_POSITIONS angstrom
Cs 2.8419 8.0990 4.1180
Cs 2.8419 -8.0990 1.3727
In 2.8419 2.4586 4.1180
In 2.8419 -2.4586 1.3727
Au 1.3763 4.7682 4.1180
Au 1.3763 -4.7682 1.3727
Au 2.8419 0.0000 0.0000
Au 2.8419 0.0000 2.7454
Au 4.3075 4.7682 4.1180
Au 4.3075 -4.7682 1.3727
CELL_PARAMETERS angstrom
2.8419 -10.1656 0.0000
2.8419 10.1656 0.0000
0.0000 0.0000 5.4907
```

***

Entry 3:
DFT (GGA-PBE) results for a relaxed ScVRu crystal. Values from VASP.

total moment: 2.6 Bohr magnetons per cell
energy above the lowest structure with this stoichiometry: 0.0505 eV per atom

Cell and atoms, written as Quantum ESPRESSO input:
```
&SYSTEM
  ibrav = 0, nat = 12, ntyp = 3
/
ATOMIC_SPECIES
Sc 44.96 Sc.upf
V 50.94 V.upf
Ru 101.07 Ru.upf
ATOMIC_POSITIONS angstrom
Sc 0.0000 2.3461 0.0000
Sc 0.0000 11.3508 0.0000
Sc 2.2006 4.5024 0.0000
Sc 2.2006 9.1946 0.0000
V 0.0000 0.0000 1.5750
V 0.0000 6.8485 0.0000
V 2.2006 0.0000 0.0000
V 2.2006 6.8485 1.5750
Ru 0.0000 4.7822 1.5750
Ru 0.0000 8.9147 1.5750
Ru 2.2006 2.0663 1.5750
Ru 2.2006 11.6307 1.5750
CELL_PARAMETERS angstrom
4.4013 0.0000 0.0000
0.0000 13.6970 0.0000
0.0000 0.0000 3.1499
```

***

Number 1: formation enthalpy at 0 K -0.629 eV per atom. Number 2: formation enthalpy at 0 K -0.133 eV per atom. Number 3: formation enthalpy at 0 K -0.293 eV per atom.